# Li2TmSnS4, relaxed, DFT PBE
data_Li2TmSnS4
_chemical_formula_sum 'Li2 Tm1 Sn1 S4'
_symmetry_space_group_name_H-M 'P 1 2/m 1'
_symmetry_Int_Tables_number 10
_symmetry_space_group_name_Hall '-P 2y'
_cell_length_a 6.573
_cell_length_b 3.827
_cell_length_c 6.746
_cell_angle_alpha 90.00
_cell_angle_beta 110.18
_cell_angle_gamma 90.00
loop_
_atom_site_label
_atom_site_type_symbol
_atom_site_fract_x
_atom_site_fract_y
_atom_site_fract_z
Li1 Li 0.000 0.000 0.000
Li2 Li 0.000 0.500 0.500
Tm1 Tm 0.500 0.000 0.500
Sn1 Sn 0.500 0.500 0.000
S1 S 0.246 0.000 0.743
S2 S 0.251 0.500 0.249
# Volume in A^3/atom: 19.9
# Formation energy without anion corrections in eV/atom: -1.280
# Mass density in g/cm3: 4.481
# Crystal system: monoclinic